Density functional theory data (PBE-GGA) for a relaxed LaTh2Mg crystal.

Cell lengths 3.393, 3.393, 12.793 Å; angles 82.38, 82.38, 60.00 degrees
Sites, in units of the cell vectors:
La: 0.000 0.000 0.000
Mg: 0.500 0.500 0.500
Th: 0.910 0.910 0.271
Th: 0.090 0.090 0.729

Values from the calculation:
As for the crystal system: trigonal. The energy above the most stable polymorph in this dataset comes out at 158.7 meV per atom. As for the calculated volume: 31.51 Å³/atom. The space group is R-3m (166). Its energy of formation is 0.903 eV/f.u.

Density functional theory data (PBE-GGA) for a relaxed Y2HoTm3Bi6 crystal.

Cell lengths 4.453, 8.910, 9.958 Å; angles 102.85, 102.92, 90.00 degrees
Sites, in units of the cell vectors:
Ho: 0.500 0.000 0.000
Bi: 0.334 0.415 0.668
Bi: 0.001 0.749 0.002
Bi: 0.333 0.919 0.666
Bi: 0.667 0.081 0.334
Bi: 0.666 0.585 0.332
Bi: 0.999 0.251 0.998
Y: 0.167 0.333 0.333
Y: 0.833 0.667 0.667
Tm: 0.167 0.833 0.334
Tm: 0.500 0.500 0.000
Tm: 0.833 0.167 0.666

Values from the calculation:
As for the crystal system: monoclinic. As for the calculated volume: 31.24 Å³/atom. The space group is C2/m (12). Its energy of formation is -9.956 eV/f.u.

Density functional theory data (PBE-GGA) for a relaxed Na3Sr6Ca crystal.

Cell lengths 6.278, 11.614, 13.509 Å; angles 101.62, 90.00, 90.00 degrees
Sites, in units of the cell vectors:
Ca: 0.250 0.951 0.596
Ca: 0.750 0.049 0.404
Sr: 0.750 0.735 0.484
Sr: 0.750 0.936 0.097
Sr: 0.750 0.545 0.901
Sr: 0.250 0.455 0.099
Sr: 0.250 0.147 0.214
Sr: 0.250 0.265 0.516
Sr: 0.250 0.064 0.903
Sr: 0.750 0.171 0.709
Sr: 0.750 0.853 0.786
Sr: 0.250 0.829 0.291
Sr: 0.250 0.636 0.691
Sr: 0.750 0.364 0.309
Na: 0.750 0.245 0.015
Na: 0.750 0.457 0.605
Na: 0.250 0.355 0.806
Na: 0.250 0.755 0.985
Na: 0.750 0.645 0.194
Na: 0.250 0.543 0.395

Values from the calculation:
As for the crystal system: monoclinic. The energy above the most stable polymorph in this dataset comes out at 0.0 meV per atom. As for the calculated volume: 48.23 Å³/atom. The space group is P2_1/m (11). Its energy of formation is 0.218 eV/f.u.

Density functional theory data (PBE-GGA) for a relaxed KHfCrNi2 crystal.

Cell lengths 4.527, 4.591, 4.527 Å; angles 90.00, 90.00, 90.00 degrees
Sites, in units of the cell vectors:
Cr: 0.000 0.500 0.000
Ni: 0.500 0.000 0.000
Ni: 0.000 0.000 0.500
K: 0.000 0.000 0.000
Hf: 0.500 0.500 0.500

Values from the calculation:
As for the crystal system: tetragonal. As for the calculated volume: 18.81 Å³/atom. The space group is P4/mmm (123). Its energy of formation is 9.424 eV/f.u.